TaReSn GGA-PBE optimized geometry; V = 20.90 Å³ per atom; energy = -9.07 eV/atom; crystal system = cubic; total magnetization = 0.04 μB per formula unit; space-group type = F-43m (216)
1.0
2.0907 -0.6097 3.8910
-2.0214 1.1130 3.8154
-1.3845 -3.1819 2.8002
Re Ta Sn
1 1 1
Direct
0.0000 0.0000 0.0000
0.7500 0.7500 0.7500
0.2500 0.2500 0.2500

---

Ta2ReSn GGA-PBE optimized geometry; V = 17.80 Å³ per atom; energy = -9.82 eV/atom; crystal system = cubic; total magnetization = 0.06 μB per formula unit; space-group type = F-43m (216)
1.0
-2.9013 -3.6362 0.0547
-2.2422 -1.1280 3.9170
-4.5885 0.6902 0.3348
Ta Re Sn
2 1 1
Direct
0.7500 0.7500 0.7500
0.0000 0.0000 0.0000
0.2500 0.2500 0.2500
0.5000 0.5000 0.5000

---

TaReSn GGA-PBE optimized geometry; V = 21.27 Å³ per atom; energy = -8.76 eV/atom; crystal system = cubic; total magnetization = 0.00 μB per formula unit; space-group type = F-43m (216)
1.0
0.0000 3.1716 3.1716
3.1716 0.0000 3.1716
3.1716 3.1716 0.0000
Ta Sn Re
1 1 1
Direct
0.0000 0.0000 0.0000
0.7500 0.7500 0.7500
0.2500 0.2500 0.2500

---

ReTc2Sn GGA-PBE optimized geometry; V = 16.04 Å³ per atom; energy = -8.90 eV/atom; crystal system = cubic; total magnetization = 1.32 μB per formula unit; space-group type = F-43m (216)
1.0
0.0000 3.1773 3.1773
3.1773 0.0000 3.1773
3.1773 3.1773 0.0000
Re Tc Sn
1 2 1
Direct
0.2500 0.2500 0.2500
0.7500 0.7500 0.7500
0.0000 0.0000 0.0000
0.5000 0.5000 0.5000